(1)
FeRh3Cl (SCAN, PBEsol geometry); N(E_F) = 5.45 states/eV/cell; SG = Pm-3m (221); total DFT energy (no corrections) = -123.0 eV/f.u.; M_tot = 0.9421 μB/atom; crystal system = cubic
1.0
4.286 0.000 0.000
0.000 4.286 0.000
0.000 0.000 4.286
Fe Rh Cl
1 3 1
Direct
0.000 0.000 0.000
0.000 0.500 0.500
0.500 0.000 0.500
0.500 0.500 0.000
0.500 0.500 0.500

(2)
Fe2RhCl (SCAN, PBEsol geometry); N(E_F) = 3.06 states/eV/cell; energy above the most stable polymorph in this dataset = 0.0 meV per atom; SG = Pmmm (47); total DFT energy (no corrections) = -78.3 eV/f.u.; M_tot = 1.8925 μB/atom; crystal system = orthorhombic
1.0
2.870 0.000 0.000
0.000 2.899 0.000
0.000 0.000 6.994
Fe Rh Cl
2 1 1
Direct
0.000 0.000 0.223
0.000 0.000 0.777
0.500 0.500 0.000
0.500 0.000 0.500